(1)
## Be2AlCu (PBE-GGA)

Data for Be2AlCu after structural relaxation.

abc: 4.3283 4.3283 4.3283
angles: 132.23 131.98 70.06
Last column: nearest neighbours and their distance in Å.
Positions (direct):
Be 0.9995 0.9995 0.0000  4 Cu 2.48, 4 Be 2.49-2.50, 4 Al 2.49-2.50
Be 0.7504 0.2504 0.5000  4 Al 2.48, 4 Be 2.49-2.50, 4 Cu 2.49-2.50
Al 0.2499 0.7499 0.5000  8 Be 2.48-2.50, 4 Cu 2.49-2.50
Cu 0.5003 0.5003 0.0000  8 Be 2.48-2.50, 4 Al 2.49-2.50

- E_form (meV/atom) = 56.6
- space group = No. 44

(2)
## YTaBe2 (PBE-GGA)

Data for YTaBe2 after structural relaxation.

abc: 5.6987 5.6987 5.6987
angles: 145.65 139.53 54.10
Last column: nearest neighbours and their distance in Å.
Positions (direct):
Y 0.2209 0.7209 0.5000  8 Be 2.84-3.15, 4 Ta 3.13-3.14
Be 0.9625 0.9625 0.0000  2 Be 2.12
Be 0.8350 0.3350 0.5000  2 Be 2.12
Ta 0.4816 0.4816 0.0000  6 Be 2.47-2.60

- E_form (meV/atom) = 198.2
- E above lowest polymorph (eV per atom) = 0.092
- space group = No. 44

(3)
## Sm2Tl3F8 (PBE-GGA)

Data for Sm2Tl3F8 after structural relaxation.

abc: 3.9462 8.0187 8.3534
angles: 118.68 90.00 90.00
Last column: nearest neighbours and their distance in Å.
Positions (direct):
Sm 0.5000 0.2530 0.5060  8 F 2.36-2.40
Sm 0.5000 0.7470 0.4940  8 F 2.36-2.40
Tl 0.5000 0.0000 0.0000  8 F 3.09-3.11, 4 Tl 3.16
Tl 0.0000 0.3071 0.0000  6 F 2.79-3.11, 1 Tl 3.09
Tl 0.0000 0.6929 0.0000  6 F 2.79-3.11, 1 Tl 3.09
F 0.0000 0.6584 0.3169  2 Sm 2.36, 1 F 2.60
F 0.0000 0.3416 0.6831  2 Sm 2.36, 1 F 2.60
F 0.0000 0.1641 0.3282  2 Sm 2.36, 1 F 2.60
F 0.0000 0.8359 0.6718  2 Sm 2.36, 1 F 2.60
F 0.5000 0.5908 0.6781  2 Sm 2.38-2.40, 1 F 2.61
F 0.5000 0.0872 0.6781  2 Sm 2.38-2.40, 1 F 2.61
F 0.5000 0.9128 0.3219  2 Sm 2.38-2.40, 1 F 2.61
F 0.5000 0.4092 0.3219  2 Sm 2.38-2.40, 1 F 2.61

- formation energy without anion corrections (meV per atom) = -2964
- space group = No. 65

(4)
## CaAuIN2 (PBE-GGA)

Data for CaAuIN2 after structural relaxation.

abc: 4.4678 4.4678 6.6651
angles: 90.00 90.00 90.00
Last column: nearest neighbours and their distance in Å.
Positions (direct):
I 0.0000 0.0000 0.5000  4 Au 3.16, 2 Ca 3.33
Ca 0.0000 0.0000 0.0000  4 N 2.23
Au 0.5000 0.5000 0.5000  4 I 3.16
N 0.0000 0.5000 0.0000  2 Ca 2.23
N 0.5000 0.0000 0.0000  2 Ca 2.23

- E above lowest polymorph (eV per atom) = 0.460
- formation energy without anion corrections (meV per atom) = 1486
- space group = No. 123

(5)
## TbCe2HoSb5 (PBE-GGA)

Data for TbCe2HoSb5 after structural relaxation.

abc: 5.3227 5.3227 11.5580
angles: 90.00 90.00 90.00
Last column: nearest neighbours and their distance in Å.
Positions (direct):
Tb 0.0000 0.0000 0.5000  6 Sb 2.66-2.93
Ce 0.5000 0.5000 0.2869  5 Sb 3.32-3.63
Ce 0.5000 0.5000 0.7131  5 Sb 3.32-3.63
Ho 0.0000 0.0000 0.0000  2 Sb 2.85
Sb 0.0000 0.5000 0.5000  2 Tb 2.66
Sb 0.5000 0.0000 0.5000  2 Tb 2.66
Sb 0.0000 0.0000 0.7536  1 Ho 2.85, 1 Tb 2.93
Sb 0.0000 0.0000 0.2464  1 Ho 2.85, 1 Tb 2.93
Sb 0.5000 0.5000 0.0000  2 Ce 3.32

- formation energy without anion corrections (meV per atom) = -257
- space group = No. 123

(6)
## BaNa2PbCl8 (PBE-GGA)

Data for BaNa2PbCl8 after structural relaxation.

abc: 6.4253 6.6707 8.9462
angles: 89.89 89.95 90.91
Last column: nearest neighbours and their distance in Å.
Positions (direct):
Ba 0.0000 0.0000 0.5000  6 Cl 2.97-3.17
Na 0.4994 0.4994 0.7373  4 Cl 2.73-2.92
Na 0.5006 0.5006 0.2627  4 Cl 2.73-2.92
Pb 0.0000 0.0000 0.0000  6 Cl 2.55-2.61
Cl 0.1636 0.7806 0.2092  1 Pb 2.61
Cl 0.6844 0.7628 0.9999  1 Pb 2.55
Cl 0.8355 0.2186 0.2090  1 Pb 2.61, 1 Na 2.92
Cl 0.8364 0.2194 0.7908  1 Pb 2.61
Cl 0.3156 0.2372 0.0001  1 Pb 2.55
Cl 0.1645 0.7814 0.7910  1 Pb 2.61, 1 Na 2.92
Cl 0.6302 0.7268 0.5002  2 Na 2.73, 1 Ba 2.97
Cl 0.3698 0.2732 0.4998  2 Na 2.73, 1 Ba 2.97

- formation energy without anion corrections (meV per atom) = -1444
- space group = No. 2

(7)
## Pu2NiPt6 (PBE-GGA)

Data for Pu2NiPt6 after structural relaxation.

abc: 6.1316 5.5398 5.5398
angles: 59.98 90.01 90.01
Last column: nearest neighbours and their distance in Å.
Positions (direct):
Pu 0.8716 0.6666 0.6666  9 Pt 2.99-3.13, 3 Ni 3.29
Pu 0.1284 0.3334 0.3334  9 Pt 2.99-3.13, 3 Ni 3.29
Ni 0.0000 0.0000 0.0000  6 Pt 2.52-2.53
Pt 0.3131 0.3408 0.8297  1 Ni 2.52, 4 Pt 2.71-2.82
Pt 0.3137 0.8295 0.8295  1 Ni 2.53, 4 Pt 2.71-2.81
Pt 0.3131 0.8297 0.3408  1 Ni 2.52, 4 Pt 2.71-2.82
Pt 0.6869 0.6592 0.1703  1 Ni 2.52, 4 Pt 2.71-2.82
Pt 0.6863 0.1705 0.1705  1 Ni 2.53, 4 Pt 2.71-2.81
Pt 0.6869 0.1703 0.6592  1 Ni 2.52, 4 Pt 2.71-2.82

- E_form (meV/atom) = -587.1
- E above lowest polymorph (eV per atom) = 0.007
- space group = No. 164

(8)
## SrSnCl6 (PBE-GGA)

Data for SrSnCl6 after structural relaxation.

abc: 8.2170 6.6644 6.9245
angles: 97.49 107.99 126.25
Last column: nearest neighbours and their distance in Å.
Positions (direct):
Sr 0.0000 0.0000 0.0000  6 Cl 2.91-2.95
Sn 0.5000 0.0000 0.0000  6 Cl 2.48
Cl 0.8445 0.1178 0.2911  1 Sn 2.48
Cl 0.5534 0.8267 0.7089  1 Sn 2.48
Cl 0.4466 0.1733 0.2911  1 Sn 2.48
Cl 0.1555 0.8822 0.7089  1 Sn 2.48
Cl 0.2508 0.5406 0.0000  1 Sn 2.48
Cl 0.7492 0.4594 0.0000  1 Sn 2.48

- E above lowest polymorph (eV per atom) = 0.004
- formation energy without anion corrections (meV per atom) = -1466
- space group = No. 12

Number 1: energy -15.06 eV per cell. Number 2: energy -24.98 eV per cell. Number 3: energy -70.03 eV per cell. Number 4: energy -16.05 eV per cell. Number 5: energy -44.00 eV per cell. Number 6: energy -40.38 eV per cell. Number 7: energy -75.97 eV per cell. Number 8: energy -28.49 eV per cell.